DFT (PBE) results for a geometry-optimized SmTlC2O6 structure.

a = 8.8837 Å, b = 9.6912 Å, c = 7.3065 Å
α = 90.00°, β = 111.44°, γ = 90.00°
With the nearest neighbours (Å) after each atom.
Space group C2/c (No. 15)
Unique sites:
Sm: 0.0000 0.0961 0.2500  8 O 2.36-2.56
Tl: 0.0000 0.3883 0.7500  6 O 2.89-3.05
C: 0.2282 0.1242 0.7484  3 O 1.27-1.32
O: 0.0860 0.1159 0.6036  1 C 1.32
O: 0.1751 0.2759 0.2388  1 C 1.27
O: 0.2390 0.4744 0.1222  1 C 1.30

Calculated values
Formation energy from raw total energies ... -1.929 eV/atom
Magnetic moment ... 0.00 μB/f.u.